<A>
## NbS2Br (PBE)

Data for a relaxed NbS2Br crystal.

The space group is C2/c (No. 15) and the conventional cell measures 5.0976, 13.7227 and 6.6589 Å, with angles of 90.00, 106.97 and 90.00 degrees. Symmetry generates all atoms from Nb at (0.0000, 0.0284, 0.2500), S at (0.1729, 0.1011, 0.5901) and Br at (0.0000, 0.3758, 0.7500).

As for the crystal system: monoclinic. The calculation puts the size of the total moment at 0.000 μB/atom. The calculated volume comes out at 446 Å³/cell.

<B>
## NbS2Br (PBE)

Data for a relaxed NbS2Br crystal.

The space group is R-3m (No. 166, hexagonal axes) and the conventional cell measures 3.4793, 3.4793 and 24.2299 Å, with angles of 90.00, 90.00 and 120.00 degrees. Symmetry generates all atoms from Nb at (0.0000, 0.0000, 0.0000), S at (0.0000, 0.0000, 0.3951) and Br at (0.0000, 0.0000, 0.5000).

As for the crystal system: trigonal. The calculation puts the size of the total moment at 0.000 μB/atom. The calculated volume comes out at 254 Å³/cell.

What is the stability order? It is <A>, <B>, from most stable to least stable.

<A>
## NbSBr3 (PBE)

Data for a relaxed NbSBr3 crystal.

The space group is Pm-3m (No. 221) and the conventional cell measures 5.1646, 5.1646 and 5.1646 Å, with angles of 90.00, 90.00 and 90.00 degrees. Symmetry generates all atoms from Nb at (0.0000, 0.0000, 0.0000), S at (0.5000, 0.5000, 0.5000) and Br at (0.0000, 0.5000, 0.5000).

As for the crystal system: cubic. The calculation puts the size of the total moment at 0.722 μB/atom. The calculated volume comes out at 138 Å³/cell.

<B>
## NbSBr3 (PBE)

Data for a relaxed NbSBr3 crystal.

The space group is C2/c (No. 15) and the conventional cell measures 7.2683, 14.6375 and 12.8482 Å, with angles of 90.00, 96.23 and 90.00 degrees. Symmetry generates all atoms from Nb at (0.0690, 0.0588, 0.1504), S at (0.1291, 0.1807, 0.2893), Br at (0.1395, 0.0918, 0.5304), Br at (0.1503, 0.3710, 0.9170) and Br at (0.2289, 0.0426, 0.7996).

As for the crystal system: monoclinic. The calculation puts the size of the total moment at 0.000 μB/atom. The calculated volume comes out at 1359 Å³/cell.

<C>
## NbSBr3 (PBE)

Data for a relaxed NbSBr3 crystal.

The space group is P2_1/m (No. 11) and the conventional cell measures 6.7328, 7.2825 and 6.7620 Å, with angles of 90.00, 95.02 and 90.00 degrees. Symmetry generates all atoms from Nb at (0.0199, 0.2500, 0.0198), S at (0.2580, 0.2500, 0.2600), Br at (0.1944, 0.0000, 0.8087) and Br at (0.2732, 0.7500, 0.2746).

As for the crystal system: monoclinic. The calculation puts the size of the total moment at 0.000 μB/atom. The calculated volume comes out at 330 Å³/cell.

<D>
## NbSBr3 (PBE)

Data for a relaxed NbSBr3 crystal.

The space group is Pm-3m (No. 221) and the conventional cell measures 5.1297, 5.1297 and 5.1297 Å, with angles of 90.00, 90.00 and 90.00 degrees. Symmetry generates all atoms from Nb at (0.0000, 0.0000, 0.0000), S at (0.5000, 0.5000, 0.5000) and Br at (0.0000, 0.0000, 0.5000).

As for the crystal system: cubic. The calculation puts the size of the total moment at 0.000 μB/atom. The calculated volume comes out at 135 Å³/cell.

What is the stability order? It is <B>, <C>, <D>, <A>, from most stable to least stable.